[1]
The following is a DFT calculation (PBE) of a geometry-optimized AgMoIr2 structure.

```
AgMoIr2
1.0
3.1777 -3.0587 0.6644
2.8827 0.4748 3.3703
-0.2255 -2.7203 3.5276
Mo Ag Ir
1 1 2
direct
0.0000 0.0000 0.0000
0.5000 0.5000 0.5000
0.7500 0.7500 0.7500
0.2500 0.2500 0.2500
```

Output
Its space-group type is Fm-3m, No. 225. Its volume is 63 Å³ per cell. The calculation puts the formation energy from the elements at 0.359 eV per atom. For the energy above the lowest structure with this stoichiometry, the calculation gives 33.7 kJ per mole of atoms.

---

[2]
The following is a DFT calculation (PBE) of a geometry-optimized Sm4Dy2HoTh structure.

```
Sm4Dy2HoTh
1.0
-1.6046 -4.7750 0.6032
1.8342 -0.0203 4.7190
-7.0860 3.4171 8.2012
Ho Dy Th Sm
1 2 1 4
direct
0.5000 0.5000 0.0000
0.0000 0.0000 0.0000
0.5000 0.0000 0.5000
0.0000 0.5000 0.5000
0.5000 0.7480 0.2520
0.0000 0.7511 0.7487
0.0000 0.2489 0.2513
0.5000 0.2520 0.7480
```

Output
Its space-group type is Pmmm, No. 47. Its volume is 261 Å³ per cell. The calculation puts the formation energy from the elements at 0.034 eV per atom.

---

[3]
The following is a DFT calculation (PBE) of a geometry-optimized LaHo2Ga6 structure.

```
LaHo2Ga6
1.0
4.3692 0.0000 0.0000
0.0000 7.2166 0.0000
-2.1846 -3.6083 6.5321
Ho Ga La
2 6 1
direct
0.8736 0.8736 0.7472
0.1264 0.1264 0.2528
0.5000 0.1785 0.0000
0.6855 0.8834 0.3711
0.6855 0.4877 0.3711
0.5000 0.8215 0.0000
0.3145 0.1166 0.6289
0.3145 0.5123 0.6289
0.0000 0.5000 0.0000
```

Output
Its space-group type is Immm, No. 71. Its volume is 206 Å³ per cell. The calculation puts the formation energy from the elements at -0.508 eV per atom. For the energy above the lowest structure with this stoichiometry, the calculation gives 12.4 kJ per mole of atoms.

---

[4]
The following is a DFT calculation (PBE) of a geometry-optimized TaBeNi2 structure.

```
TaBeNi2
1.0
2.7040 0.0000 0.0000
0.0000 2.6860 0.0363
0.0000 2.6060 6.4787
Ni Ta Be
2 1 1
direct
0.0000 0.0508 0.9492
0.0000 0.4492 0.5508
0.5000 0.2500 0.2500
0.5000 0.7500 0.7500
```

Output
Its space-group type is Pmmm, No. 47. Its volume is 47 Å³ per cell. The calculation puts the formation energy from the elements at -0.309 eV per atom.

---

[5]
The following is a DFT calculation (PBE) of a geometry-optimized TbTiCu2 structure.

```
TbTiCu2
1.0
4.6687 0.0000 0.0000
2.3344 4.0432 0.0000
2.3344 1.3477 3.8120
Cu Ti Tb
2 1 1
direct
0.7500 0.7500 0.7500
0.2500 0.2500 0.2500
0.5000 0.5000 0.5000
0.0000 0.0000 0.0000
```

Output
Its space-group type is Fm-3m, No. 225. Its volume is 72 Å³ per cell. The calculation puts the formation energy from the elements at -0.024 eV per atom. For the energy above the lowest structure with this stoichiometry, the calculation gives 6.1 kJ per mole of atoms.

---

Which value of formation energy from the elements does entry 1 give?
0.359 eV per atom